TaSb2As | GGA-PBE | relaxed

Magnetic moment (μB/f.u.): 0.00
Calculated volume (Å³ per cell): 86.9
Theoretical density (g/cm3): 9.54
Energy relative to the elements, uncorrected (meV/atom): 427

Lattice parameters (Å, degrees): 5.2866 7.1687 3.1906 75.53 82.39 127.06
Last column: nearest neighbours and their distance in Å.
Positions (direct):
1 As 0.5000 0.0000 0.5000  4 Sb 2.90, 2 As 3.19
2 Sb 0.0000 0.5000 0.5000  2 Ta 2.90, 2 As 2.90, 2 Sb 3.19
3 Sb 0.0000 0.0000 0.0000  2 As 2.90, 2 Ta 2.90, 2 Sb 3.19
4 Ta 0.5000 0.5000 0.0000  4 Sb 2.90, 2 Ta 3.19

KTlHCl | GGA-PBE | relaxed

Magnetic moment (μB/f.u.): 0.00
Calculated volume (Å³ per cell): 101.0
Theoretical density (g/cm3): 4.60
DFT total energy (eV per atom): -2.74

Lattice parameters (Å, degrees): 5.2268 5.2268 5.2268 60.00 60.00 60.00
Last column: nearest neighbours and their distance in Å.
Positions (direct):
1 Cl 0.2500 0.2500 0.2500  4 Tl 3.20, 4 K 3.20
2 H 0.7500 0.7500 0.7500  4 Tl 3.20, 4 K 3.20
3 K 0.0000 0.0000 0.0000  4 Cl 3.20, 4 H 3.20
4 Tl 0.5000 0.5000 0.5000  4 H 3.20, 4 Cl 3.20

Er5BiP6 | GGA-PBE | relaxed

Magnetic moment (μB/f.u.): 0.00
Calculated volume (Å³ per cell): 273.1
Theoretical density (g/cm3): 7.48
DFT total energy (eV per atom): -6.20

Lattice parameters (Å, degrees): 6.9448 6.9448 6.9386 99.60 99.60 120.02
Last column: nearest neighbours and their distance in Å.
Positions (direct):
1 P 0.0848 0.4253 0.2538  5 Er 2.79-2.84, 1 Bi 2.89
2 P 0.7442 0.7442 0.2552  5 Er 2.77-2.84, 1 Bi 2.90
3 P 0.5747 0.9152 0.7462  5 Er 2.79-2.84, 1 Bi 2.89
4 P 0.4253 0.0848 0.2538  5 Er 2.79-2.84, 1 Bi 2.89
5 P 0.2558 0.2558 0.7448  5 Er 2.77-2.84, 1 Bi 2.90
6 P 0.9152 0.5747 0.7462  5 Er 2.79-2.84, 1 Bi 2.89
7 Er 0.3325 0.6675 0.0000  6 P 2.82-2.84
8 Er 0.8350 0.1650 0.5000  6 P 2.79-2.84
9 Er 0.1650 0.8350 0.5000  6 P 2.79-2.84
10 Er 0.5000 0.5000 0.5000  6 P 2.77-2.84
11 Er 0.6675 0.3325 0.0000  6 P 2.82-2.84
12 Bi 0.0000 0.0000 0.0000  6 P 2.89-2.90